VASP calculation (PBE) on a relaxed structure of GeBiPd.

POSCAR file:
```
GeBiPd
1.0
4.540 0.000 0.000
0.000 3.434 0.000
-1.755 0.000 8.161
Ge Bi Pd
2 2 2
direct
0.237 0.250 0.475
0.763 0.750 0.525
0.205 0.750 0.873
0.795 0.250 0.127
0.358 0.750 0.252
0.642 0.250 0.748
```

## Properties
DFT formation energy: -164.4 meV per atom
Distance to the lowest polymorph of the same formula: 53 meV per atom
Space-group type: No. 11